[1]
VASP calculation (GGA-PBEsol) on a relaxed structure of Li4ZnCl.

Output
* space-group type: F-43m, No. 216
* mass density: 1.83 g/cm³
* density of states at the Fermi level: 1.51 states/eV/f.u.
* E: -2.00 eV per atom

POSCAR file:
```
Li4ZnCl
1.0
5.4881 0.0000 0.0000
2.7441 4.7529 0.0000
2.7441 1.5843 4.4810
Cl Li Zn
1 4 1
Cartesian
0.0000 0.0000 0.0000
4.1249 2.3815 1.6840
5.4881 3.1686 3.9102
6.8514 2.3815 1.6840
5.4881 4.7427 1.6840
8.2322 4.7529 3.3608
```



[2]
VASP calculation (GGA-PBEsol) on a relaxed structure of ZnNi3.

Output
* space-group type: P4/mmm, No. 123
* mass density: 9.21 g/cm³
* density of states at the Fermi level: 5.62 states/eV/f.u.
* E: -5.11 eV per atom
* formation enthalpy at 0 K: -0.1008 eV per atom

POSCAR file:
```
ZnNi3
1.0
2.5189 0.0000 0.0000
0.0000 2.5189 0.0000
0.0000 0.0000 6.8644
Ni Zn
3 1
Cartesian
0.0000 0.0000 5.0930
0.0000 0.0000 1.7714
1.2594 1.2594 3.4322
1.2594 1.2594 0.0000
```



[3]
VASP calculation (GGA-PBEsol) on a relaxed structure of KCdSi4.

Output
* space-group type: F-43m, No. 216
* mass density: 3.95 g/cm³
* density of states at the Fermi level: 2.41 states/eV/f.u.
* E: -3.88 eV per atom

POSCAR file:
```
KCdSi4
1.0
5.3949 0.0000 0.0000
2.6975 4.6721 0.0000
2.6975 1.5574 4.4049
Cd K Si
1 1 4
Cartesian
8.0924 4.6721 3.3037
0.0000 0.0000 0.0000
4.0527 2.3399 1.6545
5.3949 3.1148 3.8463
6.7371 2.3399 1.6545
5.3949 4.6646 1.6545
```



[4]
VASP calculation (GGA-PBEsol) on a relaxed structure of AlCo2Si.

Output
* space-group type: Pmmm, No. 47
* mass density: 6.66 g/cm³
* density of states at the Fermi level: 2.64 states/eV/f.u.
* E: -6.96 eV per atom

POSCAR file:
```
AlCo2Si
1.0
2.7146 0.0000 0.0000
0.0000 2.9083 0.0000
0.0000 0.0000 5.4603
Si Co Al
1 2 1
Cartesian
1.3573 1.4542 0.0000
0.0000 0.0000 4.1800
0.0000 0.0000 1.2803
1.3573 1.4542 2.7301
```



[5]
VASP calculation (GGA-PBEsol) on a relaxed structure of NaAu3C.

Output
* space-group type: Pm-3m, No. 221
* mass density: 9.45 g/cm³
* density of states at the Fermi level: 2.51 states/eV/f.u.
* offset from the most stable computed form: 2066 meV/atom
* E: -2.14 eV per atom
* formation enthalpy at 0 K: 2.4281 eV per atom

POSCAR file:
```
NaAu3C
1.0
-3.8667 -2.7584 0.6243
2.3449 -3.7182 -1.9043
1.5810 -1.2315 4.3513
Na C Au
1 1 3
Cartesian
0.0000 0.0000 0.0000
0.0296 -3.8540 1.5356
1.1725 -1.8591 -0.9521
0.7905 -0.6157 2.1756
-1.9334 -1.3792 0.3121
```



[6]
VASP calculation (GGA-PBEsol) on a relaxed structure of SiSe.

Output
* space-group type: P6_3/mmc, No. 194
* mass density: 4.75 g/cm³
* density of states at the Fermi level: 0.98 states/eV/f.u.
* E: -4.20 eV per atom

POSCAR file:
```
SiSe
1.0
4.7733 0.0000 0.0000
-2.3866 4.1338 0.0000
0.0000 0.0000 7.5895
Se Si
4 4
Cartesian
0.0000 0.0000 5.6921
0.0000 0.0000 1.8974
2.3867 1.3779 1.8974
0.0000 2.7559 5.6921
2.3867 1.3779 6.9463
0.0000 2.7559 3.1516
0.0000 2.7559 0.6432
2.3867 1.3779 4.4380
```



[7]
VASP calculation (GGA-PBEsol) on a relaxed structure of Sr3Hg.

Output
* space-group type: Immm, No. 71
* mass density: 4.76 g/cm³
* density of states at the Fermi level: 4.45 states/eV/f.u.
* offset from the most stable computed form: 53 meV/atom
* E: -1.77 eV per atom
* formation enthalpy at 0 K: -0.2472 eV per atom

POSCAR file:
```
Sr3Hg
1.0
-2.7906 1.8422 -2.3372
-3.2564 -5.1589 -0.1781
-0.2066 3.5136 6.5765
Sr Hg
3 1
Cartesian
-4.2818 -0.9356 0.8144
-1.9717 1.1325 3.2468
-1.3953 0.9211 -1.1686
-1.6282 -2.5794 -0.0891
```



[8]
VASP calculation (GGA-PBEsol) on a relaxed structure of Li22Si5.

Output
* space-group type: F-43m, No. 216
* mass density: 1.23 g/cm³
* density of states at the Fermi level: 6.12 states/eV/f.u.
* E: -2.87 eV per atom

POSCAR file:
```
Li22Si5
1.0
-4.4289 -6.2449 10.6059
-4.0461 -12.4043 -0.9272
7.0748 -9.6054 5.3648
Li Si
88 20
Cartesian
-0.3501 -7.0637 3.7609
-3.1848 -6.4946 8.5180
4.8100 -8.8301 4.8756
-0.1068 -2.1546 1.1472
-2.9187 -10.7753 0.5027
2.3325 -5.5035 3.0167
-3.0326 -8.6238 4.5050
0.9365 -9.7833 2.6968
-1.6366 -4.3440 4.8250
-1.5045 -6.4692 0.8458
0.8044 -7.6581 6.6759
4.4716 -11.1194 6.0870
-5.8718 -17.1352 8.9564
1.7802 -19.3705 5.4702
-3.1805 -8.8841 9.5732
-2.9258 -12.9812 1.9016
1.5255 -15.2734 13.1418
-1.6223 -11.1187 3.5686
-3.0375 -15.4574 3.2442
-1.0822 -14.3788 12.5536
2.9415 -15.5542 10.7204
4.3242 -13.6046 7.4094
1.8496 -10.2449 5.5329
-4.5541 -15.2526 10.5893
-4.4202 -17.4070 6.5553
-0.8288 -18.4562 4.9191
3.0610 -17.4772 7.1199
-3.2909 -11.3801 10.8788
-1.7418 -9.1958 7.1691
-4.4633 -12.6445 4.1070
-0.3785 -13.8378 2.2460
1.7390 -12.8111 12.0316
0.3023 -17.2157 11.7023
3.2305 -10.7082 8.4600
3.3664 -12.8953 4.3648
-3.4426 -18.1582 9.5835
-5.9548 -14.7475 7.6785
0.4313 -19.2899 7.8185
2.0039 -17.0725 4.0526
-4.5922 -10.5703 7.9908
-0.6434 -9.5765 10.2250
-0.6823 -12.0830 11.1584
1.4147 -17.2698 9.2702
-3.0947 -11.1475 5.8508
-0.4382 -16.0089 3.8074
-2.0445 -16.2593 10.8462
-4.3113 -14.8775 5.5720
2.7769 -13.0935 9.5824
0.7784 -12.2789 4.0862
-4.4265 -13.0253 9.0400
0.6495 -10.2052 7.9692
-1.9294 -18.1115 7.3782
2.9058 -15.1673 5.6994
-4.1634 -10.3742 2.8623
2.3175 -3.1631 1.7663
4.7401 -6.4522 3.6033
-4.2945 -8.2650 6.8115
-1.4521 -2.0619 3.4837
3.4143 -10.5170 3.2994
-0.3938 -11.4754 1.1449
-2.9686 -4.2003 7.1154
3.2888 -8.4986 7.0787
-2.7121 -8.3278 -0.6131
-1.3266 -4.0803 -0.2956
-0.6503 -7.3479 8.8733
-1.0502 -21.1910 11.2826
-0.7001 -14.1273 7.5217
0.0000 0.0000 0.0000
0.8099 -7.2965 1.8142
-2.4616 -6.3408 3.3047
-0.4496 -9.0725 4.8304
0.7011 -5.5448 5.0941
-2.0376 -13.8588 9.7662
1.7345 -14.9607 8.0476
-0.5853 -11.8111 6.2885
-1.9120 -15.8785 5.9845
0.5177 -14.3718 5.4779
-2.9170 -13.3684 7.0428
-0.8046 -16.2363 8.6446
0.4034 -12.5327 8.9215
-2.3058 -20.9389 13.3896
1.2354 -21.9734 11.7763
-0.9424 -19.0166 10.1249
-2.1879 -22.8349 9.8395
0.2986 -21.4617 9.0191
-3.5054 -20.3504 10.7522
-1.1659 -23.5267 12.5262
0.1720 -19.4249 12.8328
-1.7871 -6.7752 6.1724
2.2657 -7.9591 4.3259
-0.2267 -4.5751 2.4359
-1.6522 -8.9452 2.1092
1.6688 -21.7368 6.7197
-5.9996 -19.4966 10.2134
-1.2835 -25.8996 13.7895
1.4136 -17.6309 14.4076
-3.7835 -22.7806 12.0408
1.6831 -19.6013 10.5243
-2.3611 -18.4199 12.3668
0.2607 -23.9620 10.1983
0.1261 -21.7967 14.2528
-2.2265 -20.5852 8.3123
-3.4264 -15.7129 8.2780
2.0262 -12.5417 6.7654
-2.0076 -11.3633 8.6032
0.6074 -16.8913 6.4403
0.4731 -14.7315 10.4843
-1.8734 -13.5231 4.5591
```



[9]
VASP calculation (GGA-PBEsol) on a relaxed structure of Ni2OsW.

Output
* space-group type: Pmmm, No. 47
* mass density: 16.19 g/cm³
* density of states at the Fermi level: 4.93 states/eV/f.u.
* offset from the most stable computed form: 129 meV/atom
* E: -9.49 eV per atom
* formation enthalpy at 0 K: 0.0930 eV per atom

POSCAR file:
```
Ni2OsW
1.0
2.6163 0.0000 0.0207
0.0000 3.7316 0.0000
-0.0406 0.0000 5.1625
Ni Os W
2 1 1
Cartesian
2.5856 0.0000 3.9116
-0.0098 0.0000 1.2716
1.3082 1.8658 0.0103
1.2879 1.8658 2.5916
```



[10]
VASP calculation (GGA-PBEsol) on a relaxed structure of ReAs2SeN.

Output
* space-group type: P4/mmm, No. 123
* mass density: 6.48 g/cm³
* density of states at the Fermi level: 4.67 states/eV/f.u.
* E: -5.64 eV per atom

POSCAR file:
```
ReAs2SeN
1.0
4.8309 0.0000 0.0000
0.0000 4.7709 0.0000
0.0000 0.0000 4.7709
Re As Se N
1 2 1 1
Cartesian
0.0000 0.0000 0.0000
0.0000 0.0000 2.3854
0.0000 2.3854 0.0000
2.4154 0.0000 0.0000
2.4154 2.3854 2.3854
```



[11]
VASP calculation (GGA-PBEsol) on a relaxed structure of Sr2ZnCl.

Output
* space-group type: Fm-3m, No. 225
* mass density: 3.90 g/cm³
* density of states at the Fermi level: 4.23 states/eV/f.u.
* offset from the most stable computed form: 243 meV/atom
* E: -2.47 eV per atom

POSCAR file:
```
Sr2ZnCl
1.0
5.5004 0.0000 0.0000
2.7502 4.7635 0.0000
2.7502 1.5878 4.4911
Sr Zn Cl
2 1 1
Cartesian
2.7502 1.5878 1.1228
8.2506 4.7635 3.3683
5.5004 3.1757 2.2455
0.0000 0.0000 0.0000
```



[12]
VASP calculation (GGA-PBEsol) on a relaxed structure of ZnCdAsBr2.

Output
* space-group type: P4/mmm, No. 123
* mass density: 5.44 g/cm³
* density of states at the Fermi level: 2.93 states/eV/f.u.
* E: -2.18 eV per atom

POSCAR file:
```
ZnCdAsBr2
1.0
4.9809 0.0000 0.0000
0.0000 4.9809 0.0000
0.0000 0.0000 5.0741
As Zn Br Cd
1 1 2 1
Cartesian
0.0000 0.0000 2.5370
0.0000 0.0000 0.0000
0.0000 2.4905 0.0000
2.4905 0.0000 0.0000
2.4905 2.4905 2.5370
```



Among the records above, which one has the highest E?
Sr3Hg